VASP calculation (PBE) on a geometry-optimized PrEr2Pb structure.

Crystal system: trigonal
Calculated volume in Å³/cell: 127.35
E_form in meV/atom: 67.4
VASP energy in eV per atom: -4.34

Lattice parameters (Å, degrees): 3.493 3.493 12.217 81.78 81.78 60.00
Fractional coordinates of all 4 atoms:
Er: 0.906 0.906 0.283
Er: 0.094 0.094 0.717
Pr: 0.000 0.000 0.000
Pb: 0.500 0.500 0.500

VASP calculation (PBE) on a geometry-optimized La4NdEr2Tm structure.

Crystal system: monoclinic
Calculated volume in Å³/cell: 273.86
E_form in meV/atom: 21.6
VASP energy in eV per atom: -4.74

Lattice parameters (Å, degrees): 6.238 6.233 9.659 49.89 101.20 107.57
Fractional coordinates of all 8 atoms:
Er: 0.500 0.000 0.500
Er: 0.000 0.000 0.000
La: 0.500 0.748 0.252
La: 0.500 0.252 0.748
La: 0.000 0.752 0.748
La: 0.000 0.248 0.252
Tm: 0.000 0.500 0.500
Nd: 0.500 0.500 0.000

VASP calculation (PBE) on a geometry-optimized La2Cr structure.

Crystal system: orthorhombic
Calculated volume in Å³/cell: 178.98
E_form in meV/atom: 341.2
VASP energy in eV per atom: -6.15

Lattice parameters (Å, degrees): 8.673 8.673 5.547 90.00 90.00 154.60
Last column: magnetic moment on the atom in μB.
Fractional coordinates of all 6 atoms:
Cr: 0.926 0.074 0.750  3.39
Cr: 0.074 0.926 0.250  3.39
La: 0.573 0.427 0.750  -0.13
La: 0.427 0.573 0.250  -0.13
La: 0.722 0.278 0.250  -0.11
La: 0.278 0.722 0.750  -0.11

VASP calculation (PBE) on a geometry-optimized La2BeHg structure.

Crystal system: tetragonal
Calculated volume in Å³/cell: 105.76
E_form in meV/atom: -154.2
VASP energy in eV per atom: -3.62

Lattice parameters (Å, degrees): 3.731 3.736 8.457 63.79 90.00 90.00
Fractional coordinates of all 4 atoms:
Hg: 0.500 0.750 0.750
La: 0.000 0.531 0.469
La: 0.000 0.969 0.031
Be: 0.500 0.250 0.250

VASP calculation (PBE) on a geometry-optimized Ac2DyCd structure.

Crystal system: tetragonal
Calculated volume in Å³/cell: 145.48
E_form in meV/atom: -105.1
VASP energy in eV per atom: -3.54

Lattice parameters (Å, degrees): 3.973 3.973 9.215 90.00 90.00 90.00
Fractional coordinates of all 4 atoms:
Ac: 0.000 0.000 0.229
Ac: 0.000 0.000 0.771
Dy: 0.500 0.500 0.500
Cd: 0.500 0.500 0.000

VASP calculation (PBE) on a geometry-optimized Dy5HfN6 structure.

Crystal system: monoclinic
Calculated volume in Å³/cell: 169.63
VASP energy in eV per atom: -8.66

Lattice parameters (Å, degrees): 5.922 5.926 5.923 59.98 80.39 70.51
Fractional coordinates of all 12 atoms:
Dy: 0.500 0.834 0.332
Dy: 0.000 0.667 0.667
Dy: 0.500 0.500 0.000
Dy: 0.500 0.166 0.668
Dy: 0.000 0.333 0.333
N: 0.241 0.236 0.000
N: 0.760 0.080 0.317
N: 0.240 0.920 0.683
N: 0.760 0.397 0.683
N: 0.759 0.764 0.000
N: 0.240 0.603 0.317
Hf: 0.000 0.000 0.000

VASP calculation (PBE) on a geometry-optimized Tb3YMg4 structure.

Crystal system: tetragonal
Calculated volume in Å³/cell: 439.16
E_form in meV/atom: -92.9
VASP energy in eV per atom: -3.43

Lattice parameters (Å, degrees): 5.393 7.551 10.785 90.00 90.00 90.00
Fractional coordinates of all 16 atoms:
Mg: 0.500 0.750 0.000
Mg: 0.999 0.750 0.750
Mg: 0.001 0.750 0.250
Mg: 0.001 0.250 0.250
Mg: 0.500 0.250 0.000
Mg: 0.500 0.250 0.500
Mg: 0.999 0.250 0.750
Mg: 0.500 0.750 0.500
Tb: 0.500 0.500 0.750
Tb: 0.499 0.000 0.750
Tb: 0.501 0.000 0.250
Tb: 0.500 0.500 0.250
Tb: 0.000 0.000 0.000
Tb: 0.000 0.000 0.500
Y: 0.000 0.500 0.000
Y: 0.000 0.500 0.500

VASP calculation (PBE) on a geometry-optimized NaThPb2 structure.

Crystal system: trigonal
Calculated volume in Å³/cell: 119.45
E_form in meV/atom: -172.4
VASP energy in eV per atom: -4.21

Lattice parameters (Å, degrees): 3.530 3.530 11.258 80.98 80.98 60.00
Fractional coordinates of all 4 atoms:
Na: 0.000 0.000 0.000
Pb: 0.253 0.253 0.242
Pb: 0.747 0.747 0.758
Th: 0.500 0.500 0.500

VASP calculation (PBE) on a geometry-optimized PSeCl structure.

Crystal system: trigonal
Calculated volume in Å³/cell: 74.33
VASP energy in eV per atom: -3.75

Lattice parameters (Å, degrees): 3.608 3.608 6.592 90.00 90.00 120.00
Fractional coordinates of all 3 atoms:
Cl: 0.000 0.000 0.101
Se: 0.333 0.667 0.556
P: 0.667 0.333 0.344

VASP calculation (PBE) on a geometry-optimized InNiCl2 structure.

Crystal system: tetragonal
Calculated volume in Å³/cell: 92.70
VASP energy in eV per atom: -3.03

Lattice parameters (Å, degrees): 6.652 6.652 6.652 145.77 145.77 49.18
Last column: magnetic moment on the atom in μB.
Fractional coordinates of all 4 atoms:
Cl: 0.000 0.000 0.000  0.01
Cl: 0.250 0.750 0.500  0.03
In: 0.500 0.500 0.000  0.01
Ni: 0.750 0.250 0.500  0.79

VASP calculation (PBE) on a geometry-optimized TaAl2V structure.

Crystal system: cubic
Calculated volume in Å³/cell: 63.37
E_form in meV/atom: 34.6
VASP energy in eV per atom: -7.08

Lattice parameters (Å, degrees): 4.475 4.475 4.475 60.00 60.00 60.00
Last column: magnetic moment on the atom in μB.
Fractional coordinates of all 4 atoms:
Ta: 0.500 0.500 0.500  -0.60
V: 0.000 0.000 0.000  1.69
Al: 0.250 0.250 0.250  0.00
Al: 0.750 0.750 0.750  0.00

VASP calculation (PBE) on a geometry-optimized PrSmSnPb structure.

Crystal system: orthorhombic
Calculated volume in Å³/cell: 123.35
E_form in meV/atom: -662.5
VASP energy in eV per atom: -4.96

Lattice parameters (Å, degrees): 4.661 4.465 6.368 90.00 111.47 90.00
Fractional coordinates of all 4 atoms:
Pb: 0.407 0.000 0.813
Sn: 0.593 0.500 0.187
Pr: 0.134 0.000 0.268
Sm: 0.866 0.500 0.732

> What is the formula in the twelfth record?

PrSmSnPb

> Which of these has the lowest VASP energy?

Dy5HfN6